A relaxed CaLa2ScF crystal. Source: Alexandria via LeMat-Bulk, functional PBE.

Summary:
The volume comes out at 186 Å³/cell. Its space group is P4/mmm (123). The formation energy without anion corrections comes out at 13.983 kcal/mol of atoms. As for the electronic total energy: -17.03 eV per cell.

Lattice parameters (Å, degrees): 6.0056 5.1583 6.0056 90.00 90.00 90.00
Fractional positions:
1 Sc 0.0000 0.5000 0.0000
2 Ca 0.0000 0.0000 0.0000
3 F 0.5000 0.5000 0.5000
4 La 0.0000 0.0000 0.5000
5 La 0.5000 0.0000 0.0000


A relaxed CaLaSc2F crystal. Source: Alexandria via LeMat-Bulk, functional PBE.

Summary:
The volume comes out at 173 Å³/cell. Its space group is P4/mmm (123). The formation energy without anion corrections comes out at 15.038 kcal/mol of atoms. As for the electronic total energy: -18.20 eV per cell.

Lattice parameters (Å, degrees): 5.1678 6.4953 5.1678 90.00 90.00 90.00
Fractional positions:
1 Sc 0.0000 0.0000 0.5000
2 Sc 0.5000 0.0000 0.0000
3 Ca 0.0000 0.5000 0.0000
4 F 0.5000 0.5000 0.5000
5 La 0.0000 0.0000 0.0000


A relaxed CaLa2TlF crystal. Source: Alexandria via LeMat-Bulk, functional PBE.

Summary:
The volume comes out at 134 Å³/cell. Its space group is P4/mmm (123). The formation energy without anion corrections comes out at -26.382 kcal/mol of atoms. As for the electronic total energy: -21.81 eV per cell.

Lattice parameters (Å, degrees): 5.2161 4.9262 5.2161 90.00 90.00 90.00
Fractional positions:
1 Tl 0.5000 0.5000 0.5000
2 F 0.0000 0.0000 0.0000
3 Ca 0.0000 0.5000 0.0000
4 La 0.0000 0.0000 0.5000
5 La 0.5000 0.0000 0.0000


A relaxed Ca2LaTlF crystal. Source: Alexandria via LeMat-Bulk, functional PBE.

Summary:
The volume comes out at 132 Å³/cell. Its space group is P4/mmm (123). The formation energy without anion corrections comes out at -26.801 kcal/mol of atoms. As for the electronic total energy: -18.98 eV per cell.

Lattice parameters (Å, degrees): 4.9939 4.9939 5.2768 90.00 90.00 90.00
Last column: magnetic moment on the atom in μB.
Fractional positions:
1 Tl 0.5000 0.5000 0.5000  -0.01
2 F 0.0000 0.0000 0.0000  0.01
3 Ca 0.0000 0.5000 0.0000  0.05
4 Ca 0.5000 0.0000 0.0000  0.05
5 La 0.0000 0.0000 0.5000  0.24


A relaxed CaLa2YF crystal. Source: Alexandria via LeMat-Bulk, functional PBE.

Summary:
The volume comes out at 145 Å³/cell. Its space group is P4/mmm (123). The formation energy without anion corrections comes out at -22.784 kcal/mol of atoms. As for the electronic total energy: -25.13 eV per cell.

Lattice parameters (Å, degrees): 5.4835 5.4835 4.8197 90.00 90.00 90.00
Fractional positions:
1 Y 0.5000 0.5000 0.5000
2 Ca 0.0000 0.0000 0.5000
3 F 0.0000 0.0000 0.0000
4 La 0.0000 0.5000 0.0000
5 La 0.5000 0.0000 0.0000


A relaxed Li2CaF4 crystal. Source: Alexandria via LeMat-Bulk, functional PBE.

Summary:
The calculation puts the excess energy over the best structure of this formula in the dataset at 5.926 kcal/mol of atoms. The volume comes out at 110 Å³/cell. Its space group is I4/mmm (139). The formation energy without anion corrections comes out at -70.355 kcal/mol of atoms. As for the electronic total energy: -34.67 eV per cell.

Lattice parameters (Å, degrees): 4.4275 4.4275 6.4042 69.78 69.78 90.00
Fractional positions:
1 Ca 0.0000 0.0000 0.0000
2 Li 0.6474 0.6474 0.7052
3 Li 0.3526 0.3526 0.2948
4 F 0.8032 0.8032 0.3937
5 F 0.1968 0.1968 0.6063
6 F 0.0000 0.5000 0.0000
7 F 0.5000 0.0000 0.0000


A relaxed LiCa2F crystal. Source: Alexandria via LeMat-Bulk, functional PBE.

Summary:
The calculation puts the excess energy over the best structure of this formula in the dataset at 6.164 kcal/mol of atoms. The volume comes out at 109 Å³/cell. Its space group is R-3m (166). The formation energy without anion corrections comes out at -23.978 kcal/mol of atoms. As for the electronic total energy: -11.95 eV per cell.

Lattice parameters (Å, degrees): 3.5951 3.5951 9.9617 79.60 79.60 60.00
Fractional positions:
1 Ca 0.1088 0.1088 0.6737
2 Ca 0.8912 0.8912 0.3263
3 Li 0.0000 0.0000 0.0000
4 F 0.5000 0.5000 0.5000


A relaxed Li3Ca12F5 crystal. Source: Alexandria via LeMat-Bulk, functional PBE.

Summary:
The volume comes out at 2235 Å³/cell. Its space group is Ia-3d (230). The formation energy without anion corrections comes out at -29.851 kcal/mol of atoms. As for the electronic total energy: -260.03 eV per cell.

Lattice parameters (Å, degrees): 14.2657 14.2657 14.2657 109.47 109.47 109.47
Fractional positions:
1 Li 0.7500 0.3750 0.1250
2 Li 0.8750 0.7500 0.1250
3 Li 0.3750 0.7500 0.6250
4 Li 0.2500 0.1250 0.3750
5 Li 0.8750 0.1250 0.2500
6 Li 0.3750 0.6250 0.2500
7 Li 0.6250 0.3750 0.7500
8 Li 0.1250 0.8750 0.7500
9 Li 0.7500 0.8750 0.6250
10 Li 0.6250 0.2500 0.3750
11 Li 0.1250 0.2500 0.8750
12 Li 0.2500 0.6250 0.8750
13 F 0.1250 0.3750 0.2500
14 F 0.0000 0.5000 0.0000
15 F 0.0000 0.0000 0.0000
16 F 0.3750 0.2500 0.1250
17 F 0.5000 0.0000 0.5000
18 F 0.5000 0.5000 0.0000
19 F 0.1250 0.7500 0.3750
20 F 0.7500 0.1250 0.8750
21 F 0.7500 0.6250 0.3750
22 F 0.3750 0.1250 0.7500
23 F 0.6250 0.8750 0.2500
24 F 0.5000 0.5000 0.5000
25 F 0.5000 0.0000 0.0000
26 F 0.0000 0.0000 0.5000
27 F 0.2500 0.3750 0.6250
28 F 0.2500 0.8750 0.1250
29 F 0.0000 0.5000 0.5000
30 F 0.8750 0.2500 0.6250
31 F 0.6250 0.7500 0.8750
32 F 0.8750 0.6250 0.7500
33 Ca 0.7035 0.1129 0.0138
34 Ca 0.3103 0.5138 0.4009
35 Ca 0.9862 0.3871 0.2965
36 Ca 0.5138 0.2035 0.1129
37 Ca 0.5906 0.7035 0.6897
38 Ca 0.9862 0.5991 0.1897
39 Ca 0.3103 0.7965 0.4094
40 Ca 0.0991 0.9094 0.1129
41 Ca 0.5991 0.9862 0.6897
42 Ca 0.7035 0.5906 0.1897
43 Ca 0.7965 0.4862 0.3871
44 Ca 0.8103 0.9009 0.0138
45 Ca 0.1129 0.7035 0.5138
46 Ca 0.3871 0.4009 0.0906
47 Ca 0.0906 0.9009 0.3871
48 Ca 0.4094 0.1129 0.5991
49 Ca 0.0906 0.1897 0.2035
50 Ca 0.4862 0.6897 0.0991
51 Ca 0.8103 0.9094 0.2965
52 Ca 0.1129 0.4094 0.0991
53 Ca 0.3871 0.9862 0.7965
54 Ca 0.5991 0.6129 0.4094
55 Ca 0.9009 0.8103 0.5138
56 Ca 0.7965 0.3103 0.9094
57 Ca 0.4009 0.3871 0.5906
58 Ca 0.0991 0.1897 0.4862
59 Ca 0.2035 0.6897 0.0906
60 Ca 0.1897 0.0906 0.7035
61 Ca 0.6129 0.0138 0.2035
62 Ca 0.8871 0.5906 0.9009
63 Ca 0.5138 0.3103 0.9009
64 Ca 0.5906 0.8871 0.4009
65 Ca 0.9094 0.8103 0.7965
66 Ca 0.9094 0.0991 0.6129
67 Ca 0.8871 0.2965 0.4862
68 Ca 0.1897 0.0991 0.9862
69 Ca 0.6129 0.5991 0.9094
70 Ca 0.4009 0.0138 0.3103
71 Ca 0.2965 0.4094 0.8103
72 Ca 0.2035 0.5138 0.6129
73 Ca 0.9009 0.0906 0.8871
74 Ca 0.6897 0.2035 0.5906
75 Ca 0.4862 0.7965 0.8871
76 Ca 0.0138 0.4009 0.8103
77 Ca 0.4094 0.2965 0.3103
78 Ca 0.0138 0.6129 0.7035
79 Ca 0.6897 0.4862 0.5991
80 Ca 0.2965 0.8871 0.9862